No. 1
A relaxed structure of BaTa. Source: Alexandria via LeMat-Bulk, functional GGA-PBE. Values from VASP.

Crystal system: orthorhombic
Volume (A^3/atom): 31.40
SG: Imm2, No. 44
DFT formation energy (meV per atom): 890
E_tot (eV per atom): -6.00

```
&SYSTEM
  ibrav = 0, nat = 6, ntyp = 2
/
ATOMIC_SPECIES
Ba 137.33 Ba.upf
Ta 180.95 Ta.upf
CELL_PARAMETERS angstrom
-1.616 3.312 8.798
1.616 -3.312 8.798
1.616 3.312 -8.798
ATOMIC_POSITIONS crystal
Ba 0.977 0.977 0.000
Ba 0.188 0.688 0.500
Ba 0.632 0.632 0.000
Ta 0.616 0.322 0.295
Ta 0.394 0.894 0.500
Ta 0.027 0.322 0.705
```



No. 2
A relaxed structure of ScMoP2. Source: Alexandria via LeMat-Bulk, functional GGA-PBE. Values from VASP.

Crystal system: tetragonal
Volume (A^3/atom): 16.19
SG: I-4m2, No. 119
DFT formation energy (meV per atom): -331
E_tot (eV per atom): -7.33

```
&SYSTEM
  ibrav = 0, nat = 4, ntyp = 3
/
ATOMIC_SPECIES
Mo 95.94 Mo.upf
P 30.97 P.upf
Sc 44.96 Sc.upf
CELL_PARAMETERS angstrom
-3.330 0.421 -4.620
-2.884 -4.171 -2.627
1.120 2.321 5.096
ATOMIC_POSITIONS crystal
Mo 0.750 0.250 0.500
P 0.000 0.000 0.000
P 0.250 0.750 0.500
Sc 0.500 0.500 0.000
```



No. 3
A relaxed structure of Na2Sr2LiAu4. Source: Alexandria via LeMat-Bulk, functional GGA-PBE. Values from VASP.

Crystal system: tetragonal
Volume (A^3/atom): 24.80
SG: I4/mmm, No. 139
DFT formation energy (meV per atom): -490
E_tot (eV per atom): -2.83

```
&SYSTEM
  ibrav = 0, nat = 9, ntyp = 4
/
ATOMIC_SPECIES
Na 22.99 Na.upf
Sr 87.62 Sr.upf
Li 6.94 Li.upf
Au 196.97 Au.upf
CELL_PARAMETERS angstrom
-3.840 -3.538 4.127
6.463 -1.551 0.336
0.188 6.503 1.402
ATOMIC_POSITIONS crystal
Na 0.000 0.683 0.683
Na 0.000 0.317 0.317
Sr 0.500 0.750 0.250
Sr 0.500 0.250 0.750
Li 0.000 0.000 0.000
Au 0.000 0.755 0.245
Au 0.510 0.755 0.755
Au 0.000 0.245 0.755
Au 0.490 0.245 0.245
```



Copy entry 1 word for word.
A relaxed structure of BaTa. Source: Alexandria via LeMat-Bulk, functional GGA-PBE. Values from VASP.

Crystal system: orthorhombic
Volume (A^3/atom): 31.40
SG: Imm2, No. 44
DFT formation energy (meV per atom): 890
E_tot (eV per atom): -6.00

```
&SYSTEM
  ibrav = 0, nat = 6, ntyp = 2
/
ATOMIC_SPECIES
Ba 137.33 Ba.upf
Ta 180.95 Ta.upf
CELL_PARAMETERS angstrom
-1.616 3.312 8.798
1.616 -3.312 8.798
1.616 3.312 -8.798
ATOMIC_POSITIONS crystal
Ba 0.977 0.977 0.000
Ba 0.188 0.688 0.500
Ba 0.632 0.632 0.000
Ta 0.616 0.322 0.295
Ta 0.394 0.894 0.500
Ta 0.027 0.322 0.705
```



DFT formation energy of number 1 (BaTa)?
890 meV per atom